# 1
## Ca5Tl (meta-GGA SCAN)

Data for a crystal of Ca5Tl relaxed with PBEsol.

The structure belongs to space group C2/m (No. 12); the cell edges are 13.190, 3.903 and 9.024 Å and the angles 90.00°, 111.32° and 90.00°. The asymmetric unit holds Ca at (0.000, 0.000, 0.000), Ca at (0.138, 0.500, 0.362), Ca at (0.168, 0.500, 0.795) and Tl at (0.000, 0.000, 0.500).

The formation enthalpy at 0 K comes out at -207 meV per atom. The total DFT energy (no corrections) is -20.32 eV/atom. For the energy above the lowest structure with this stoichiometry, the calculation gives 0 meV per atom.

# 2
## TaCoSe2 (meta-GGA SCAN)

Data for a crystal of TaCoSe2 relaxed with PBEsol.

The structure belongs to space group I-4m2 (No. 119); the cell edges are 3.663, 3.663 and 9.074 Å and the angles 90.00°, 90.00° and 90.00°. The asymmetric unit holds Ta at (0.000, 0.000, 0.000), Co at (0.000, 0.500, 0.250), Se at (0.000, 0.000, 0.500) and Se at (0.000, 0.500, 0.750).

As for the energy relative to the elements, uncorrected: 385 meV/atom. The total DFT energy (no corrections) is -30.63 eV/atom.

# 3
## CoSn2Br2 (meta-GGA SCAN)

Data for a crystal of CoSn2Br2 relaxed with PBEsol.

The structure belongs to space group I4/mmm (No. 139); the cell edges are 3.992, 3.992 and 16.974 Å and the angles 90.00°, 90.00° and 90.00°. The asymmetric unit holds Co at (0.000, 0.000, 0.000), Sn at (0.000, 0.500, 0.250) and Br at (0.000, 0.000, 0.408).

As for the energy relative to the elements, uncorrected: 489 meV/atom. The total DFT energy (no corrections) is -25.12 eV/atom.

# 4
## TaNiSeN2 (meta-GGA SCAN)

Data for a crystal of TaNiSeN2 relaxed with PBEsol.

The structure belongs to space group P4/mmm (No. 123); the cell edges are 3.737, 3.737 and 4.395 Å and the angles 90.00°, 90.00° and 90.00°. The asymmetric unit holds Ta at (0.000, 0.000, 0.000), Ni at (0.500, 0.500, 0.500), Se at (0.500, 0.500, 0.000) and N at (0.000, 0.500, 0.500).

As for the energy relative to the elements, uncorrected: 1159 meV/atom. The total DFT energy (no corrections) is -23.12 eV/atom.

# 5
## Zn2Ag3 (meta-GGA SCAN)

Data for a crystal of Zn2Ag3 relaxed with PBEsol.

The structure belongs to space group C2/m (No. 12); the cell edges are 8.274, 4.121 and 5.805 Å and the angles 90.00°, 128.90° and 90.00°. The asymmetric unit holds Zn at (0.093, 0.000, 0.289), Ag at (0.000, 0.500, 0.500) and Ag at (0.208, 0.500, 0.123).

The formation enthalpy at 0 K comes out at -19 meV per atom. The total DFT energy (no corrections) is -24.25 eV/atom. For the energy above the lowest structure with this stoichiometry, the calculation gives 0 meV per atom.

# 6
## Rb2Mo9S11 (meta-GGA SCAN)

Data for a crystal of Rb2Mo9S11 relaxed with PBEsol.

The structure belongs to space group R-3c (No. 167, hexagonal axes); the cell edges are 9.2715, 9.2715 and 35.7048 Å and the angles 90.00°, 90.00° and 120.00°. The asymmetric unit holds Rb at (0.0000, 0.0000, 0.0510), Mo at (0.0000, 0.1680, 0.2500), Mo at (0.0099, 0.1696, 0.8131), S at (0.0000, 0.0000, 0.1360), S at (0.0000, 0.3042, 0.7500) and S at (0.0202, 0.3122, 0.1921).

As for the energy relative to the elements, uncorrected: -883 meV/atom. The total DFT energy (no corrections) is -21.85 eV/atom.

These records have magnetization values of 0.91 0.01 4.96 0.00 0.00 0.00 μB per cell, in the order they appear.